(1)
Compound: Fe2Ni2Ir
Source: the Alexandria database
Functional: GGA-PBE
Structure: optimized geometry

It has space group C2/m (No. 12), with a = 8.043 Å, b = 3.675 Å, c = 5.701 Å, α = 90.00°, β = 133.84° and γ = 90.00°. The distinct sites, in fractional coordinates, are Fe at (0.092, 0.000, 0.290), Ni at (0.197, 0.500, 0.097) and Ir at (0.000, 0.500, 0.500).

The calculation puts the formation energy at -0.03 eV/atom. Its energy above the most stable polymorph in this dataset is 0 meV/atom.


(2)
Compound: Fe2Ni3Ir3
Source: the Alexandria database
Functional: GGA-PBE
Structure: optimized geometry

It has space group R32 (No. 155, hexagonal axes), with a = 6.8712 Å, b = 6.8712 Å, c = 7.6463 Å, α = 90.00°, β = 90.00° and γ = 120.00°. The distinct sites, in fractional coordinates, are Fe at (0.0000, 0.0000, 0.2443), Ni at (0.0000, 0.2894, 0.5000) and Ir at (0.0000, 0.7161, 0.0000).

The calculation puts the formation energy at 0.12 eV/atom.


(3)
Compound: FeNi2Ir6
Source: the Alexandria database
Functional: GGA-PBE
Structure: optimized geometry

It has space group Cm (No. 8), with a = 11.631 Å, b = 4.247 Å, c = 5.353 Å, α = 90.00°, β = 103.06° and γ = 90.00°. The distinct sites, in fractional coordinates, are Fe at (0.000, 0.000, 0.000), Ni at (0.034, 0.000, 0.531), Ni at (0.335, 0.500, 0.389), Ir at (0.140, 0.500, 0.065), Ir at (0.152, 0.500, 0.579), Ir at (0.222, 0.000, 0.354), Ir at (0.233, 0.000, 0.863), Ir at (0.434, 0.000, 0.216) and Ir at (0.434, 0.000, 0.712).

The calculation puts the formation energy at 0.17 eV/atom.


(4)
Compound: Fe2Ni2Ir
Source: the Alexandria database
Functional: GGA-PBE
Structure: optimized geometry

It has space group P4/mbm (No. 127), with a = 6.558 Å, b = 6.558 Å, c = 2.710 Å, α = 90.00°, β = 90.00° and γ = 90.00°. The distinct sites, in fractional coordinates, are Fe at (0.117, 0.383, 0.000), Ni at (0.178, 0.678, 0.500) and Ir at (0.000, 0.000, 0.000).

The calculation puts the formation energy at 0.37 eV/atom. Its energy above the most stable polymorph in this dataset is 401 meV/atom.


(5)
Compound: Fe2NiIr7
Source: the Alexandria database
Functional: GGA-PBE
Structure: optimized geometry

It has space group P2/m (No. 10), with a = 7.014 Å, b = 2.684 Å, c = 8.996 Å, α = 90.00°, β = 112.84° and γ = 90.00°. The distinct sites, in fractional coordinates, are Fe at (0.227, 0.000, 0.455), Ni at (0.000, 0.500, 0.000), Ir at (0.085, 0.000, 0.792), Ir at (0.293, 0.000, 0.208), Ir at (0.356, 0.500, 0.712) and Ir at (0.500, 0.000, 0.000).

The calculation puts the formation energy at 0.42 eV/atom.


(6)
Compound: Fe6Ni8Ir
Source: the Alexandria database
Functional: GGA-PBE
Structure: optimized geometry

It has space group R-3 (No. 148, hexagonal axes), with a = 5.9687 Å, b = 5.9687 Å, c = 19.1006 Å, α = 90.00°, β = 90.00° and γ = 120.00°. The distinct sites, in fractional coordinates, are Fe at (0.0533, 0.4478, 0.2660), Ni at (0.0000, 0.0000, 0.3009), Ni at (0.0314, 0.7767, 0.1950) and Ir at (0.0000, 0.0000, 0.0000).

The calculation puts the formation energy at 0.37 eV/atom.